# PBE Al2GaNi6, optimized geometry
data_Al2GaNi6
_chemical_formula_sum 'Al4 Ga2 Ni12'
_space_group_name_H-M_alt 'C 1 2/m 1'
_space_group_IT_number 12
_space_group_name_Hall '-C 2y'
_cell_length_a 12.1789
_cell_length_b 5.4759
_cell_length_c 3.8823
_cell_angle_alpha 90.00
_cell_angle_beta 108.47
_cell_angle_gamma 90.00
loop_
_atom_site_label
_atom_site_type_symbol
_atom_site_fract_x
_atom_site_fract_y
_atom_site_fract_z
Al1 Al 0.1671 0.0000 0.1679
Ga1 Ga 0.0000 0.5000 0.5000
Ni1 Ni 0.0000 0.2497 0.0000
Ni2 Ni 0.1668 0.2479 0.6675
# ΔE_f: -0.0915 eV per atom
# Fermi-level density of states: 8.2 states/eV per cell
# total energy: -92.05 eV per cell

---

# PBE AlGaNi2, optimized geometry
data_AlGaNi2
_chemical_formula_sum 'Al4 Ga4 Ni8'
_space_group_name_H-M_alt 'F m -3 m'
_space_group_IT_number 225
_space_group_name_Hall '-F 4 2 3'
_cell_length_a 5.8067
_cell_length_b 5.8067
_cell_length_c 5.8067
_cell_angle_alpha 90.00
_cell_angle_beta 90.00
_cell_angle_gamma 90.00
loop_
_atom_site_label
_atom_site_type_symbol
_atom_site_fract_x
_atom_site_fract_y
_atom_site_fract_z
Al1 Al 0.0000 0.0000 0.0000
Ga1 Ga 0.0000 0.0000 0.5000
Ni1 Ni 0.2500 0.2500 0.2500
# ΔE_f: -0.5114 eV per atom
# Fermi-level density of states: 8.0 states/eV per cell
# total energy: -81.51 eV per cell

---

# PBE AlGa2Ni8, optimized geometry
data_AlGa2Ni8
_chemical_formula_sum 'Al2 Ga4 Ni16'
_space_group_name_H-M_alt 'I m m m'
_space_group_IT_number 71
_space_group_name_Hall '-I 2 2'
_cell_length_a 3.6152
_cell_length_b 6.7529
_cell_length_c 10.9042
_cell_angle_alpha 90.00
_cell_angle_beta 90.00
_cell_angle_gamma 90.00
loop_
_atom_site_label
_atom_site_type_symbol
_atom_site_fract_x
_atom_site_fract_y
_atom_site_fract_z
Al1 Al 0.0000 0.0000 0.0000
Ga1 Ga 0.0000 0.0000 0.3314
Ni1 Ni 0.0000 0.2377 0.5000
Ni2 Ni 0.0000 0.2558 0.1651
Ni3 Ni 0.0000 0.5000 0.3381
# ΔE_f: -0.2675 eV per atom
# Fermi-level density of states: 27.3 states/eV per cell
# total energy: -117.98 eV per cell

---

# PBE AlGaNi3, optimized geometry
data_AlGaNi3
_chemical_formula_sum 'Al4 Ga4 Ni12'
_space_group_name_H-M_alt 'C m c m'
_space_group_IT_number 63
_space_group_name_Hall '-C 2c 2'
_cell_length_a 6.3136
_cell_length_b 9.3255
_cell_length_c 4.6795
_cell_angle_alpha 90.00
_cell_angle_beta 90.00
_cell_angle_gamma 90.00
loop_
_atom_site_label
_atom_site_type_symbol
_atom_site_fract_x
_atom_site_fract_y
_atom_site_fract_z
Al1 Al 0.0000 0.1705 0.2500
Ga1 Ga 0.0000 0.5000 0.0000
Ni1 Ni 0.0000 0.2844 0.7500
Ni2 Ni 0.1896 0.0679 0.7500
# ΔE_f: -0.0130 eV per atom
# Fermi-level density of states: 14.1 states/eV per cell
# total energy: -96.71 eV per cell

---

# PBE Al2Ga2Ni7, optimized geometry
data_Al2Ga2Ni7
_chemical_formula_sum 'Al4 Ga4 Ni14'
_space_group_name_H-M_alt 'C m m m'
_space_group_IT_number 65
_space_group_name_Hall '-C 2 2'
_cell_length_a 5.1808
_cell_length_b 8.4673
_cell_length_c 6.6256
_cell_angle_alpha 90.00
_cell_angle_beta 90.00
_cell_angle_gamma 90.00
loop_
_atom_site_label
_atom_site_type_symbol
_atom_site_fract_x
_atom_site_fract_y
_atom_site_fract_z
Al1 Al 0.0000 0.2193 0.0000
Ga1 Ga 0.2380 0.5000 0.5000
Ni1 Ni 0.0000 0.0000 0.2086
Ni2 Ni 0.0000 0.5000 0.0000
Ni3 Ni 0.2500 0.2500 0.3064
# ΔE_f: -0.0772 eV per atom
# Fermi-level density of states: 14.9 states/eV per cell
# total energy: -109.72 eV per cell

---

# PBE AlGaNi2, optimized geometry
data_AlGaNi2
_chemical_formula_sum 'Al1 Ga1 Ni2'
_space_group_name_H-M_alt 'P 4/m m m'
_space_group_IT_number 123
_space_group_name_Hall '-P 4 2'
_cell_length_a 2.9172
_cell_length_b 2.9172
_cell_length_c 5.7494
_cell_angle_alpha 90.00
_cell_angle_beta 90.00
_cell_angle_gamma 90.00
loop_
_atom_site_label
_atom_site_type_symbol
_atom_site_fract_x
_atom_site_fract_y
_atom_site_fract_z
Al1 Al 0.0000 0.0000 0.0000
Ga1 Ga 0.0000 0.0000 0.5000
Ni1 Ni 0.5000 0.5000 0.2476
# ΔE_f: -0.5134 eV per atom
# Fermi-level density of states: 2.8 states/eV per cell
# total energy: -20.39 eV per cell

---

# PBE Al2Ga5Ni12, optimized geometry
data_Al2Ga5Ni12
_chemical_formula_sum 'Al4 Ga10 Ni24'
_space_group_name_H-M_alt 'C 1 2/m 1'
_space_group_IT_number 12
_space_group_name_Hall '-C 2y'
_cell_length_a 11.3017
_cell_length_b 6.9527
_cell_length_c 5.9591
_cell_angle_alpha 90.00
_cell_angle_beta 90.14
_cell_angle_gamma 90.00
loop_
_atom_site_label
_atom_site_type_symbol
_atom_site_fract_x
_atom_site_fract_y
_atom_site_fract_z
Al1 Al 0.0000 0.2086 0.0000
Ga1 Ga 0.0000 0.5000 0.5000
Ga2 Ga 0.2009 0.0000 0.9762
Ga3 Ga 0.2404 0.5000 0.5761
Ni1 Ni 0.0569 0.0000 0.3091
Ni2 Ni 0.0955 0.5000 0.8839
Ni3 Ni 0.1168 0.1996 0.6429
Ni4 Ni 0.1565 0.3174 0.2466
# ΔE_f: -0.2683 eV per atom
# Fermi-level density of states: 27.7 states/eV per cell
# total energy: -194.19 eV per cell

---

# PBE Al6GaNi12, optimized geometry
data_Al6GaNi12
_chemical_formula_sum 'Al18 Ga3 Ni36'
_space_group_name_H-M_alt 'R -3 m'
_space_group_IT_number 166
_space_group_name_Hall '-R 3 2"'
_cell_length_a 9.9675
_cell_length_b 9.9675
_cell_length_c 8.2216
_cell_angle_alpha 90.00
_cell_angle_beta 90.00
_cell_angle_gamma 120.00
loop_
_atom_site_label
_atom_site_type_symbol
_atom_site_fract_x
_atom_site_fract_y
_atom_site_fract_z
Al1 Al 0.0923 0.1846 0.2400
Ga1 Ga 0.0000 0.0000 0.5000
Ni1 Ni 0.0000 0.2586 0.5000
Ni2 Ni 0.0719 0.5359 0.6157
# ΔE_f: -0.2758 eV per atom
# Fermi-level density of states: 58.9 states/eV per cell
# total energy: -300.29 eV per cell

---

# PBE AlGa2Ni, optimized geometry
data_AlGa2Ni
_chemical_formula_sum 'Al3 Ga6 Ni3'
_space_group_name_H-M_alt 'R -3 m'
_space_group_IT_number 166
_space_group_name_Hall '-R 3 2"'
_cell_length_a 2.7673
_cell_length_b 2.7673
_cell_length_c 29.2544
_cell_angle_alpha 90.00
_cell_angle_beta 90.00
_cell_angle_gamma 120.00
loop_
_atom_site_label
_atom_site_type_symbol
_atom_site_fract_x
_atom_site_fract_y
_atom_site_fract_z
Al1 Al 0.0000 0.0000 0.0000
Ga1 Ga 0.0000 0.0000 0.4192
Ni1 Ni 0.0000 0.0000 0.5000
# ΔE_f: 0.1742 eV per atom
# Fermi-level density of states: 6.8 states/eV per cell
# total energy: -44.64 eV per cell

---

# PBE AlGa6Ni12, optimized geometry
data_AlGa6Ni12
_chemical_formula_sum 'Al3 Ga18 Ni36'
_space_group_name_H-M_alt 'R -3'
_space_group_IT_number 148
_space_group_name_Hall '-R 3'
_cell_length_a 10.0223
_cell_length_b 10.0223
_cell_length_c 8.2307
_cell_angle_alpha 90.00
_cell_angle_beta 90.00
_cell_angle_gamma 120.00
loop_
_atom_site_label
_atom_site_type_symbol
_atom_site_fract_x
_atom_site_fract_y
_atom_site_fract_z
Al1 Al 0.0000 0.0000 0.0000
Ga1 Ga 0.0913 0.9077 0.7390
Ni1 Ni 0.9997 0.2563 0.9999
Ni2 Ni 0.0717 0.5362 0.1163
# ΔE_f: -0.1691 eV per atom
# Fermi-level density of states: 61.5 states/eV per cell
# total energy: -283.48 eV per cell

---

# PBE AlGaNi5, optimized geometry
data_AlGaNi5
_chemical_formula_sum 'Al4 Ga4 Ni20'
_space_group_name_H-M_alt 'C 1 2/c 1'
_space_group_IT_number 15
_space_group_name_Hall '-C 2yc'
_cell_length_a 8.4597
_cell_length_b 8.4623
_cell_length_c 5.9946
_cell_angle_alpha 90.00
_cell_angle_beta 116.10
_cell_angle_gamma 90.00
loop_
_atom_site_label
_atom_site_type_symbol
_atom_site_fract_x
_atom_site_fract_y
_atom_site_fract_z
Al1 Al 0.0000 0.0235 0.2500
Ga1 Ga 0.0000 0.5000 0.0000
Ni1 Ni 0.0000 0.2965 0.2500
Ni2 Ni 0.1084 0.2165 0.9680
Ni3 Ni 0.1997 0.1592 0.6386
# ΔE_f: 0.0183 eV per atom
# Fermi-level density of states: 30.0 states/eV per cell
# total energy: -142.19 eV per cell

---

# PBE AlGa2Ni2, optimized geometry
data_AlGa2Ni2
_chemical_formula_sum 'Al1 Ga2 Ni2'
_space_group_name_H-M_alt 'P -3 m 1'
_space_group_IT_number 164
_space_group_name_Hall '-P 3 2"'
_cell_length_a 4.0739
_cell_length_b 4.0739
_cell_length_c 4.8676
_cell_angle_alpha 90.00
_cell_angle_beta 90.00
_cell_angle_gamma 120.00
loop_
_atom_site_label
_atom_site_type_symbol
_atom_site_fract_x
_atom_site_fract_y
_atom_site_fract_z
Al1 Al 0.0000 0.0000 0.0000
Ga1 Ga 0.3333 0.6667 0.6423
Ni1 Ni 0.3333 0.6667 0.1415
# ΔE_f: -0.4858 eV per atom
# Fermi-level density of states: 0.9 states/eV per cell
# total energy: -23.79 eV per cell